A plane-wave DFT calculation with PBE+U was carried out for crystalline RbAlVF6 at its relaxed geometry.

Results
raw total energy	-5.752	eV/atom
volume	272	Å³/cell

Unit cell a=7.2557 b=7.2557 c=7.2557 alpha=120.45 beta=118.68 gamma=90.76
Closest atoms and distances in Å follow each position.
Fractional positions:
Rb: 0.3681 0.1181 0.2500  5 F 2.90-3.13
Rb: 0.6319 0.8819 0.7500  5 F 2.90-3.13
Al: 0.0000 0.0000 0.5000  6 F 1.82-1.83
Al: 0.0000 0.5000 0.0000  6 F 1.82-1.83
V: 0.0000 0.5000 0.5000  6 F 2.10-2.13
V: 0.5000 0.5000 0.0000  6 F 2.10-2.13
F: 0.0332 0.7832 0.2500  2 Al 1.83
F: 0.0498 0.4024 0.2006  1 Al 1.82
F: 0.0498 0.8492 0.6474  1 Al 1.82
F: 0.2982 0.1508 0.7006  1 Al 1.82
F: 0.2982 0.5976 0.1474  1 Al 1.82
F: 0.3474 0.5974 0.7500  2 V 2.10
F: 0.6526 0.4026 0.2500  2 V 2.10
F: 0.7018 0.4024 0.8526  1 Al 1.82
F: 0.7018 0.8492 0.2994  1 Al 1.82
F: 0.9502 0.1508 0.3526  1 Al 1.82
F: 0.9502 0.5976 0.7994  1 Al 1.82
F: 0.9668 0.2168 0.7500  2 Al 1.83